{
  "formula": "TaIn2",
  "functional": "GGA-PBE",
  "state": "optimized geometry",
  "lattice": [[0.000, 3.353, 3.353], [3.353, 0.000, 3.353], [3.353, 3.353, 0.000]],
  "species": ["In", "In", "Ta"],
  "fractional_positions": [[0.250, 0.250, 0.250], [0.750, 0.750, 0.750], [0.000, 0.000, 0.000]],
  "energy_ev_per_atom": -5.031
}

=====

{
  "formula": "Ta2In",
  "functional": "GGA-PBE",
  "state": "optimized geometry",
  "lattice": [[0.000, 3.943, 3.943], [3.943, 0.000, 3.943], [3.943, 3.943, 0.000]],
  "species": ["Ta", "Ta", "Ta", "Ta", "In", "In"],
  "fractional_positions": [[0.625, 0.125, 0.625], [0.625, 0.625, 0.625], [0.625, 0.625, 0.125], [0.125, 0.625, 0.625], [0.250, 0.250, 0.250], [0.000, 0.000, 0.000]],
  "energy_ev_per_atom": -8.408
}

=====

{
  "formula": "TaIn2",
  "functional": "GGA-PBE",
  "state": "optimized geometry",
  "lattice": [[0.584, 0.689, 5.544], [-4.189, -1.417, 3.463], [0.518, -4.480, 3.348]],
  "species": ["In", "In", "In", "In", "Ta", "Ta"],
  "fractional_positions": [[0.625, 0.625, 0.125], [0.625, 0.625, 0.625], [0.625, 0.125, 0.625], [0.125, 0.625, 0.625], [0.250, 0.250, 0.250], [0.000, 0.000, 0.000]],
  "energy_ev_per_atom": -5.040
}

=====

{
  "formula": "TaInTc2",
  "functional": "GGA-PBE",
  "state": "optimized geometry",
  "lattice": [[0.401, -1.360, 4.346], [-2.655, -3.361, 1.598], [1.813, -4.086, 0.958]],
  "species": ["Tc", "Tc", "In", "Ta"],
  "fractional_positions": [[0.750, 0.750, 0.750], [0.000, 0.000, 0.000], [0.500, 0.500, 0.500], [0.250, 0.250, 0.250]],
  "energy_ev_per_atom": -8.470
}

=====

{
  "formula": "TaInTe",
  "functional": "GGA-PBE",
  "state": "optimized geometry",
  "lattice": [[3.974, 0.773, 2.548], [0.284, 3.797, 2.895], [-0.046, -0.601, 4.745]],
  "species": ["Te", "In", "Ta"],
  "fractional_positions": [[0.750, 0.750, 0.750], [0.250, 0.250, 0.250], [0.000, 0.000, 0.000]],
  "e_above_lowest_polymorph_mev_per_atom": 0
}

=====

{
  "formula": "TaInTe",
  "functional": "GGA-PBE",
  "state": "optimized geometry",
  "lattice": [[2.391, 1.381, 3.905], [-2.391, 1.381, 3.905], [0.000, -2.761, 3.905]],
  "species": ["In", "Te", "Ta"],
  "fractional_positions": [[0.250, 0.250, 0.250], [0.000, 0.000, 0.000], [0.750, 0.750, 0.750]],
  "e_above_lowest_polymorph_mev_per_atom": 260
}

=====

Number 1: spin magnetization 0.33 μB per formula unit. Number 2: spin magnetization 0.01 μB per formula unit. Number 3: spin magnetization 0.00 μB per formula unit. Number 4: spin magnetization 0.34 μB per formula unit. Number 5: spin magnetization 0.02 μB per formula unit. Number 6: spin magnetization 0.01 μB per formula unit.